[1]
Here is crystalline Rb3Tb2CrSe6 at its relaxed geometry from Alexandria via LeMat-Bulk. Energies are from PBE-GGA.

The structure in POSCAR format:
```
Rb3Tb2CrSe6
1.0
7.164 -0.003 -0.004
-3.584 6.204 -0.004
-1.198 -2.075 7.966
Rb Tb Cr Se
3 2 1 6
direct
0.172 0.828 0.500
0.828 0.172 0.500
0.500 0.500 0.500
0.334 0.666 0.000
0.666 0.334 0.000
0.000 0.000 0.000
0.938 0.629 0.813
0.756 0.756 0.189
0.062 0.371 0.187
0.629 0.938 0.813
0.244 0.244 0.811
0.371 0.062 0.187
```

## Properties
Formation energy without anion corrections, eV/atom: -1.3808
Electronic total energy, eV per cell: -59.26
Mass density, g cm⁻³: 5.16
Magnetization, μB per formula unit: 3.0

=====

[2]
Here is crystalline RbCrTeSe4 at its relaxed geometry from Alexandria via LeMat-Bulk. Energies are from PBE-GGA.

The structure in POSCAR format:
```
RbCrTeSe4
1.0
-4.832 -5.635 -3.560
-0.986 -2.866 5.874
-2.894 9.026 3.918
Rb Cr Te Se
2 2 2 8
direct
0.443 0.750 0.728
0.557 0.250 0.272
0.856 0.750 0.430
0.144 0.250 0.570
0.272 0.750 0.150
0.728 0.250 0.850
0.997 0.499 0.652
0.003 0.999 0.348
0.003 0.501 0.348
0.997 0.001 0.652
0.570 0.750 0.132
0.430 0.250 0.868
0.573 0.750 0.453
0.427 0.250 0.547
```

## Properties
Formation energy without anion corrections, eV/atom: -0.3897
Electronic total energy, eV per cell: -60.80
Mass density, g cm⁻³: 4.33
Magnetization, μB per formula unit: 1.2

=====

[3]
Here is crystalline Rb3Th3CrSe8 at its relaxed geometry from Alexandria via LeMat-Bulk. Energies are from PBE-GGA.

The structure in POSCAR format:
```
Rb3Th3CrSe8
1.0
-0.056 -6.813 5.095
7.011 4.777 -0.639
-7.258 3.736 4.916
Rb Th Cr Se
3 3 1 8
direct
0.000 0.000 0.000
0.000 0.500 0.000
0.500 0.500 0.000
0.500 0.000 0.500
0.500 0.500 0.500
0.000 0.500 0.500
0.000 0.000 0.500
0.265 0.529 0.294
0.735 0.471 0.706
0.774 0.548 0.312
0.226 0.452 0.688
0.774 0.038 0.312
0.226 0.962 0.688
0.264 0.038 0.312
0.736 0.962 0.688
```

## Properties
Formation energy without anion corrections, eV/atom: -1.3908
Electronic total energy, eV per cell: -83.52
Mass density, g cm⁻³: 5.31
Magnetization, μB per formula unit: 4.5

=====

[4]
Here is crystalline Rb3TiCr2Se6 at its relaxed geometry from Alexandria via LeMat-Bulk. Energies are from PBE-GGA.

The structure in POSCAR format:
```
Rb3TiCr2Se6
1.0
6.782 0.000 0.000
-3.389 5.875 0.000
-1.132 -1.960 7.748
Rb Ti Cr Se
3 1 2 6
direct
0.166 0.834 0.500
0.834 0.166 0.500
0.500 0.500 0.500
0.000 0.000 0.000
0.333 0.667 0.000
0.667 0.333 0.000
0.942 0.605 0.827
0.721 0.721 0.173
0.058 0.395 0.173
0.605 0.942 0.827
0.279 0.279 0.827
0.395 0.058 0.173
```

## Properties
Formation energy without anion corrections, eV/atom: -0.8913
Electronic total energy, eV per cell: -61.65
Mass density, g cm⁻³: 4.74
Magnetization, μB per formula unit: 7.0

=====

[5]
Here is crystalline RbTi2CrSe at its relaxed geometry from Alexandria via LeMat-Bulk. Energies are from PBE-GGA.

The structure in POSCAR format:
```
RbTi2CrSe
1.0
4.786 0.000 0.000
0.000 5.858 0.000
0.000 0.000 4.786
Cr Se Rb Ti
1 1 1 2
direct
0.500 0.500 0.500
0.000 0.000 0.000
0.000 0.500 0.000
0.000 0.000 0.500
0.500 0.000 0.000
```

## Properties
Formation energy without anion corrections, eV/atom: 1.1927
Electronic total energy, eV per cell: -23.90
Mass density, g cm⁻³: 3.86
Magnetization, μB per formula unit: 0.8

=====

[6]
Here is crystalline RbTlCrSe3 at its relaxed geometry from Alexandria via LeMat-Bulk. Energies are from PBE-GGA.

The structure in POSCAR format:
```
RbTlCrSe3
1.0
-0.952 6.781 -1.015
0.517 -1.058 -7.551
-7.662 -0.564 3.421
Rb Tl Cr Se
2 2 2 6
direct
0.750 0.209 0.419
0.250 0.791 0.581
0.250 0.407 0.814
0.750 0.593 0.186
0.250 0.051 0.101
0.750 0.949 0.899
0.250 0.206 0.413
0.000 0.208 0.000
0.500 0.792 0.000
0.500 0.208 0.000
0.000 0.792 0.000
0.750 0.794 0.587
```

## Properties
Formation energy without anion corrections, eV/atom: -0.5890
Electronic total energy, eV per cell: -53.89
Mass density, g cm⁻³: 4.85
Magnetization, μB per formula unit: 2.0

=====

[7]
Here is crystalline RbTlCr2Se at its relaxed geometry from Alexandria via LeMat-Bulk. Energies are from PBE-GGA.

The structure in POSCAR format:
```
RbTlCr2Se
1.0
5.367 0.000 0.000
0.000 5.922 0.000
0.000 0.000 5.367
Cr Tl Se Rb
2 1 1 1
direct
0.000 0.000 0.500
0.500 0.000 0.000
0.000 0.000 0.000
0.000 0.500 0.000
0.500 0.500 0.500
```

## Properties
Formation energy without anion corrections, eV/atom: 0.7689
Electronic total energy, eV per cell: -22.22
Mass density, g cm⁻³: 4.60
Magnetization, μB per formula unit: 9.7

=====

[8]
Here is crystalline Rb2TlCrSe4 at its relaxed geometry from Alexandria via LeMat-Bulk. Energies are from PBE-GGA.

The structure in POSCAR format:
```
Rb2TlCrSe4
1.0
-4.641 -5.621 0.524
-0.555 -3.679 6.585
-11.158 4.814 3.776
Rb Tl Cr Se
4 2 2 8
direct
0.183 0.000 0.633
0.817 0.000 0.367
0.567 0.500 0.867
0.933 0.500 0.133
0.750 0.500 0.500
0.000 0.000 0.000
0.250 0.500 0.500
0.500 0.000 0.000
0.355 0.807 0.107
0.270 0.193 0.893
0.838 0.807 0.893
0.537 0.193 0.107
0.395 0.693 0.393
0.480 0.307 0.607
0.912 0.693 0.607
0.213 0.307 0.393
```

## Properties
Formation energy without anion corrections, eV/atom: -0.6680
Electronic total energy, eV per cell: -66.41
Mass density, g cm⁻³: 4.18
Magnetization, μB per formula unit: 1.0